A relaxed structure of BaAc2PtO8, computed with PBE.

**Uncorrected formation energy**: -1892 meV/atom
**DFT total energy**: -6.546 eV/atom

abc: 4.5480 5.6457 7.7180
angles: 89.97 89.98 92.96
Last column: magnetic moment on the atom in μB.
Atoms (fractional coordinates):
Ac (0.5002, 0.5001, 0.2463)  0.00
Ac (0.4998, 0.4999, 0.7537)  0.00
O (0.9690, 0.2478, 0.8143)  0.04
O (0.9688, 0.2481, 0.1855)  0.03
O (0.4180, 0.1049, 0.0007)  0.02
O (0.5820, 0.8951, 0.9993)  0.02
O (0.4951, 0.7331, 0.5000)  0.15
O (0.0310, 0.7522, 0.1857)  0.04
O (0.5049, 0.2669, 0.5000)  0.15
O (0.0312, 0.7519, 0.8145)  0.03
Ba (0.0000, 0.0000, 0.5000)  0.00
Pt (0.0000, 0.0000, 0.0000)  0.09